Here is crystalline YCrTeN2 at its relaxed geometry from the Alexandria database. Energies are from PBE.

Values from the calculation:
E_form (uncorrected), eV/atom: 0.123
Crystal system: tetragonal

a b c (Å): 3.989 3.989 5.251
angles (deg): 90.00 90.00 90.00
Atoms (fractional coordinates):
1 Y 0.000 0.000 0.000
2 Cr 0.500 0.500 0.500
3 Te 0.500 0.500 0.000
4 N 0.000 0.500 0.500
5 N 0.500 0.000 0.500